1.
CuAs2Cl | PBE | optimized geometry

Structure (POSCAR):
```
CuAs2Cl
1.0
-4.5668 -2.4707 -6.5471
-1.7744 -4.8283 -6.5850
-4.6271 -5.4099 -4.3757
Cu As Cl
1 2 1
Direct
0.7531 0.7531 0.7531
0.0062 0.0062 0.0062
0.2809 0.2809 0.2809
0.4597 0.4597 0.4597
```

Space-group type   R3m, No. 160
Uncorrected formation energy   -0.689 eV/f.u.



2.
PrAgAu | PBE | optimized geometry

Structure (POSCAR):
```
PrAgAu
1.0
-1.6605 3.2176 -0.4384
-1.6413 -1.4287 -4.2688
-2.5895 -0.7979 3.9517
Ag Au Pr
1 1 1
Direct
0.1671 0.3333 0.6667
0.1662 0.0000 0.0000
0.6667 0.6667 0.3333
```

Space-group type   P-6m2, No. 187
Energy of formation   -524.9 meV/atom



| no. | distance to the lowest polymorph of the same formula (eV/atom) | E (Ry/atom) |
| --- | --- | --- |
| 1 | 0.000 | -0.293 |
| 2 | 0.038 | -0.306 |